First-principles (GGA-PBE) data for a relaxed structure of LaTmNi, as listed in Alexandria.

Values from the calculation:
Calculated total energy in eV/atom: -5.32
Energy relative to the lowest polymorph listed for this composition in kJ per mole of atoms: 0.0
Space group: P-1
Calculated formation energy in eV per atom: -0.259

Cell lengths 3.7406, 6.0371, 7.3169 Å; angles 80.65, 75.20, 72.01 degrees
With the nearest neighbours (Å) after each atom.
Positions (direct):
La1 0.1794 0.2407 0.4023  2 Ni 2.78
La2 0.8206 0.7593 0.5977  2 Ni 2.78
Tm1 0.4215 0.2834 0.8727  4 Ni 2.75-2.99
Tm2 0.5785 0.7166 0.1273  4 Ni 2.75-2.99
Ni1 0.1288 0.8794 0.8625  1 Ni 2.49, 2 Tm 2.75, 2 La 2.78
Ni2 0.8712 0.1206 0.1375  1 Ni 2.49, 2 Tm 2.75, 2 La 2.78